{
  "formula": "Zr9S2",
  "functional": "meta-GGA SCAN",
  "state": "PBEsol geometry",
  "lattice": [[9.597, 0.000, 0.000], [0.000, 9.597, 0.000], [-4.799, -4.799, 9.597]],
  "species": ["Zr", "Zr", "Zr", "Zr", "Zr", "Zr", "Zr", "Zr", "Zr", "Zr", "Zr", "Zr", "Zr", "Zr", "Zr", "Zr", "Zr", "Zr", "Zr", "Zr", "Zr", "Zr", "Zr", "Zr", "Zr", "Zr", "Zr", "Zr", "Zr", "Zr", "Zr", "Zr", "Zr", "Zr", "Zr", "Zr", "S", "S", "S", "S", "S", "S", "S", "S"],
  "frac_coords": [[0.528, 0.177, 0.354], [0.693, 0.865, 0.385], [0.982, 0.762, 0.965], [0.238, 0.018, 0.035], [0.557, 0.885, 0.115], [0.823, 0.173, 0.646], [0.268, 0.988, 0.535], [0.268, 0.547, 0.535], [0.946, 0.875, 0.250], [0.012, 0.732, 0.465], [0.797, 0.018, 0.035], [0.304, 0.375, 0.250], [0.136, 0.136, 0.272], [0.423, 0.573, 0.146], [0.982, 0.203, 0.965], [0.625, 0.054, 0.750], [0.125, 0.696, 0.750], [0.946, 0.375, 0.250], [0.386, 0.886, 0.772], [0.125, 0.054, 0.750], [0.722, 0.573, 0.146], [0.827, 0.177, 0.354], [0.693, 0.520, 0.385], [0.115, 0.443, 0.885], [0.480, 0.307, 0.615], [0.453, 0.732, 0.465], [0.823, 0.472, 0.646], [0.427, 0.577, 0.854], [0.864, 0.864, 0.728], [0.304, 0.875, 0.250], [0.625, 0.696, 0.750], [0.114, 0.614, 0.228], [0.427, 0.278, 0.854], [0.557, 0.230, 0.115], [0.770, 0.443, 0.885], [0.135, 0.307, 0.615], [0.272, 0.728, 0.000], [0.272, 0.272, 0.000], [0.728, 0.272, 0.000], [0.522, 0.478, 0.500], [0.522, 0.022, 0.500], [0.978, 0.022, 0.500], [0.978, 0.478, 0.500], [0.728, 0.728, 0.000]],
  "sg": "I4_1/amd",
  "crystal_system": "tetragonal",
  "e_form_raw_ev_per_atom": -0.689,
  "energy_ev_per_atom": -27.56
}